Entry 1:
Computed, not measured: a relaxed BaNiNF2 crystal at the GGA+U level of DFT.

Fermi-level density of states ... 2.17 states/eV/cell
Total energy ... -24.33 eV per cell
Spin magnetization ... 3.00 μB/f.u.
Energy relative to the lowest polymorph listed for this composition ... 0 meV per atom
ρ ... 5.713 g/cm³

Cell lengths 4.217, 4.217, 4.053 Å; angles 90.00, 90.00, 90.00 degrees
Space group P4/mmm (No. 123)
Inequivalent atoms, fractional coordinates:
Ba 0.000 0.000 0.000 [1 per cell]
Ni 0.500 0.500 0.500 [1 per cell]
N 0.500 0.500 0.000 [1 per cell]
F 0.000 0.500 0.500 [2 per cell]

Entry 2:
Computed, not measured: a relaxed BaNiN2F crystal at the GGA+U level of DFT.

Fermi-level density of states ... 1.16 states/eV/cell
Total energy ... -24.46 eV per cell
Spin magnetization ... 3.21 μB/f.u.
Energy relative to the lowest polymorph listed for this composition ... 0 meV per atom
ρ ... 5.595 g/cm³

Cell lengths 3.745, 3.745, 5.144 Å; angles 90.00, 90.00, 90.00 degrees
Space group P4/mmm (No. 123)
Inequivalent atoms, fractional coordinates:
Ba 0.000 0.000 0.000 [1 per cell]
Ni 0.500 0.500 0.500 [1 per cell]
N 0.000 0.500 0.500 [2 per cell]
F 0.500 0.500 0.000 [1 per cell]

Entry 3:
Computed, not measured: a relaxed BaNiNF2 crystal at the GGA+U level of DFT.

Fermi-level density of states ... 3.18 states/eV/cell
Total energy ... -18.98 eV per cell
Spin magnetization ... 3.00 μB/f.u.
Energy relative to the lowest polymorph listed for this composition ... 1070 meV per atom
ρ ... 3.014 g/cm³

Cell lengths 4.976, 4.976, 5.519 Å; angles 90.00, 90.00, 90.00 degrees
Space group P4/mmm (No. 123)
Inequivalent atoms, fractional coordinates:
Ba 0.000 0.000 0.000 [1 per cell]
Ni 0.500 0.500 0.500 [1 per cell]
N 0.000 0.000 0.500 [1 per cell]
F 0.000 0.500 0.000 [2 per cell]